(1)
Here is crystalline Tl2CdInHg5 at its relaxed geometry from the Alexandria database. Energies are from PBE.

Output
* DOS(E_F): 0.380 states/eV per atom
* E_form: 0.099 eV/f.u.
* volume: 496.7 Å³/cell
* SG: Cmc2_1 (36)
* energy: -9.80 eV per formula unit

abc: 3.6263 9.2526 15.0952
angles: 90.00 90.00 101.30
Closest atoms and distances in Å follow each position.
Atoms (fractional coordinates):
Tl 0.8835 0.7671 0.2163  7 Hg 3.15-3.41, 2 Cd 3.41
In 0.7560 0.5119 0.5369  6 Hg 3.05-3.14
In 0.2440 0.4881 0.0369  6 Hg 3.05-3.14
Hg 0.2893 0.5787 0.7000  1 Hg 3.07, 2 In 3.12, 3 Tl 3.15-3.34
Hg 0.9284 0.8567 0.5321  2 Cd 3.06, 4 Hg 3.09-3.42, 1 In 3.13
Hg 0.4587 0.9173 0.6938  1 Cd 3.05, 4 Hg 3.07-3.35, 2 Tl 3.41
Hg 0.5413 0.0827 0.1938  1 Cd 3.05, 4 Hg 3.07-3.35, 2 Tl 3.41
Tl 0.1277 0.2554 0.3565  7 Hg 3.17-3.43, 2 Cd 3.40
Hg 0.7107 0.4213 0.2000  1 Hg 3.07, 2 In 3.12, 3 Tl 3.15-3.34
Hg 0.5881 0.1762 0.5352  1 In 3.05, 1 Cd 3.21, 4 Tl 3.32-3.33, 1 Hg 3.35
Hg 0.0716 0.1433 0.0321  2 Cd 3.06, 4 Hg 3.09-3.42, 1 In 3.13
Cd 0.5298 0.0597 0.8769  5 Hg 3.05-3.21, 4 Tl 3.40-3.41
Hg 0.6983 0.3965 0.8763  1 Cd 3.06, 2 In 3.14, 3 Tl 3.17-3.36
Tl 0.1165 0.2329 0.7163  7 Hg 3.15-3.41, 2 Cd 3.41
Hg 0.3017 0.6035 0.3763  1 Cd 3.06, 2 In 3.14, 3 Tl 3.17-3.36
Cd 0.4702 0.9403 0.3769  5 Hg 3.05-3.21, 4 Tl 3.40-3.41
Tl 0.8723 0.7446 0.8565  7 Hg 3.17-3.43, 2 Cd 3.40
Hg 0.4119 0.8238 0.0352  1 In 3.05, 1 Cd 3.21, 4 Tl 3.32-3.33, 1 Hg 3.35

=====

(2)
Here is crystalline TlCdIn2Hg5 at its relaxed geometry from the Alexandria database. Energies are from PBE.

Output
* DOS(E_F): 0.386 states/eV per atom
* E_form: 0.145 eV/f.u.
* volume: 484.6 Å³/cell
* SG: Cmc2_1 (36)
* energy: -10.12 eV per formula unit

abc: 3.5849 8.8043 15.6825
angles: 90.00 90.00 101.75
Closest atoms and distances in Å follow each position.
Atoms (fractional coordinates):
Hg 0.9239 0.8478 0.5821  1 Cd 3.12, 6 Hg 3.13-3.49, 2 Tl 3.29, 1 In 3.47
Hg 0.4036 0.8072 0.0634  4 In 3.09-3.11, 1 Cd 3.43
In 0.0796 0.1593 0.7228  7 Hg 3.09-3.40, 2 Tl 3.44
In 0.8765 0.7530 0.9038  5 Hg 3.09-3.13, 2 Cd 3.33
Hg 0.7250 0.4500 0.7982  3 In 3.09-3.30, 2 Hg 3.20, 2 Cd 3.21, 1 Tl 3.41
Hg 0.2750 0.5500 0.2982  3 In 3.09-3.30, 2 Hg 3.20, 2 Cd 3.21, 1 Tl 3.41
Hg 0.2567 0.5134 0.6325  2 Cd 3.16, 7 Hg 3.20-3.49, 1 In 3.36
Cd 0.2245 0.4490 0.9679  6 Hg 3.12-3.43, 2 In 3.33
Hg 0.7433 0.4866 0.1325  2 Cd 3.16, 7 Hg 3.20-3.49, 1 In 3.36
In 0.9204 0.8407 0.2228  7 Hg 3.09-3.40, 2 Tl 3.44
Hg 0.5964 0.1928 0.5634  4 In 3.09-3.11, 1 Cd 3.43
Tl 0.4455 0.8910 0.4080  5 Hg 3.29-3.56, 4 In 3.44-3.55, 2 Cd 3.56, 2 Tl 3.58
Hg 0.0761 0.1522 0.0821  1 Cd 3.12, 6 Hg 3.13-3.49, 2 Tl 3.29, 1 In 3.47
Cd 0.7755 0.5510 0.4679  6 Hg 3.12-3.43, 2 In 3.33
Tl 0.5545 0.1090 0.9080  5 Hg 3.29-3.56, 4 In 3.44-3.55, 2 Cd 3.56, 2 Tl 3.58
In 0.1235 0.2470 0.4038  5 Hg 3.09-3.13, 2 Cd 3.33
Hg 0.5865 0.1731 0.2453  3 Hg 3.13-3.23, 4 In 3.13-3.40
Hg 0.4135 0.8269 0.7453  3 Hg 3.13-3.23, 4 In 3.13-3.40

=====

(3)
Here is crystalline TlCd3In3Hg2 at its relaxed geometry from the Alexandria database. Energies are from PBE.

Output
* DOS(E_F): 0.480 states/eV per atom
* E_form: 0.513 eV/f.u.
* volume: 236.4 Å³/cell
* SG: P-62m (189)
* energy: -13.42 eV per formula unit

abc: 3.2942 9.1023 9.1023
angles: 120.00 90.00 90.00
Closest atoms and distances in Å follow each position.
Atoms (fractional coordinates):
Cd 0.0000 0.3585 0.0000  1 Tl 3.26, 2 Cd 3.29, 6 In 3.34-3.52, 4 Hg 3.36
In 0.5000 0.0000 0.6776  2 Hg 3.09, 2 In 3.29, 2 Cd 3.34, 2 Tl 3.37
Tl 0.0000 0.0000 0.0000  3 Cd 3.26, 2 Tl 3.29, 6 In 3.37
Cd 0.0000 0.6415 0.6415  1 Tl 3.26, 2 Cd 3.29, 6 In 3.34-3.52, 4 Hg 3.36
Cd 0.0000 0.0000 0.3585  1 Tl 3.26, 2 Cd 3.29, 6 In 3.34-3.52, 4 Hg 3.36
Hg 0.5000 0.3333 0.6667  3 In 3.09, 2 Hg 3.29, 6 Cd 3.36
In 0.5000 0.6776 0.0000  2 Hg 3.09, 2 In 3.29, 2 Cd 3.34, 2 Tl 3.37
Hg 0.5000 0.6667 0.3333  3 In 3.09, 2 Hg 3.29, 6 Cd 3.36
In 0.5000 0.3224 0.3224  2 Hg 3.09, 2 In 3.29, 2 Cd 3.34, 2 Tl 3.37

=====

(4)
Here is crystalline TlCd2InHg6 at its relaxed geometry from the Alexandria database. Energies are from PBE.

Output
* DOS(E_F): 0.319 states/eV per atom
* E_form: 0.362 eV/f.u.
* volume: 544.9 Å³/cell
* SG: P2_1/c (14)
* energy: -8.38 eV per formula unit

abc: 8.0229 8.0550 8.4316
angles: 90.00 90.35 90.00
Closest atoms and distances in Å follow each position.
Atoms (fractional coordinates):
Cd 0.0984 0.1930 0.7433  7 Hg 3.03-3.23, 1 In 3.31, 1 Tl 3.38
Hg 0.2846 0.6855 0.2663  5 Hg 3.15-3.45, 1 Cd 3.23, 1 In 3.37, 1 Tl 3.52
Hg 0.8827 0.1378 0.4258  3 Cd 3.03-3.21, 1 In 3.13, 4 Hg 3.15-3.26, 1 Tl 3.33
Hg 0.2154 0.1855 0.2337  5 Hg 3.15-3.45, 1 Cd 3.23, 1 In 3.37, 1 Tl 3.52
Hg 0.1173 0.8622 0.5742  3 Cd 3.03-3.21, 1 In 3.13, 4 Hg 3.15-3.26, 1 Tl 3.33
In 0.5000 0.0000 0.0000  6 Hg 3.07-3.37, 2 Cd 3.31
Hg 0.8600 0.1240 0.0405  1 In 3.07, 4 Hg 3.09-3.31, 3 Cd 3.09-3.21, 1 Tl 3.25
Hg 0.1400 0.8760 0.9595  1 In 3.07, 4 Hg 3.09-3.31, 3 Cd 3.09-3.21, 1 Tl 3.25
Hg 0.3600 0.3760 0.5405  1 In 3.07, 4 Hg 3.09-3.31, 3 Cd 3.09-3.21, 1 Tl 3.25
Hg 0.7154 0.3145 0.7337  5 Hg 3.15-3.45, 1 Cd 3.23, 1 In 3.37, 1 Tl 3.52
Tl 0.5000 0.0000 0.5000  6 Hg 3.25-3.52, 2 Cd 3.38
Cd 0.9016 0.8070 0.2567  7 Hg 3.03-3.23, 1 In 3.31, 1 Tl 3.38
Hg 0.7846 0.8145 0.7663  5 Hg 3.15-3.45, 1 Cd 3.23, 1 In 3.37, 1 Tl 3.52
Hg 0.3827 0.3622 0.9258  3 Cd 3.03-3.21, 1 In 3.13, 4 Hg 3.15-3.26, 1 Tl 3.33
Cd 0.5984 0.3070 0.2433  7 Hg 3.03-3.23, 1 In 3.31, 1 Tl 3.38
In 0.0000 0.5000 0.5000  6 Hg 3.07-3.37, 2 Cd 3.31
Cd 0.4016 0.6930 0.7567  7 Hg 3.03-3.23, 1 In 3.31, 1 Tl 3.38
Tl 0.0000 0.5000 0.0000  6 Hg 3.25-3.52, 2 Cd 3.38
Hg 0.6173 0.6378 0.0742  3 Cd 3.03-3.21, 1 In 3.13, 4 Hg 3.15-3.26, 1 Tl 3.33
Hg 0.6400 0.6240 0.4595  1 In 3.07, 4 Hg 3.09-3.31, 3 Cd 3.09-3.21, 1 Tl 3.25